The following is a PBE calculation of MnRu2Au after structural relaxation, from Alexandria via LeMat-Bulk.

Unit cell a=2.7304 b=2.7304 c=9.1286 alpha=90.00 beta=90.00 gamma=116.37
Closest atoms and distances in Å follow each position.
Sites, in units of the cell vectors:
Ru  0.0000  0.0000  0.9941  2 Mn 2.55, 6 Ru 2.62-2.73
Ru  0.5000  0.5000  0.2337  8 Ru 2.62-2.88, 2 Au 2.89
Mn  0.5000  0.5000  0.7639  2 Ru 2.55, 4 Mn 2.73, 2 Au 2.74
Au  0.0000  0.0000  0.5083  6 Au 2.73-2.88, 2 Mn 2.74, 2 Ru 2.89

Output
Mass density in kg/m³: 12366
N(E_F) in states/eV/cell: 3.75
Energy of formation in meV per atom: 398
Excess energy over the best structure of this formula in the dataset in eV per formula unit: 1.01
Symmetry: No. 35